Compound: NaZrPb3
Source: the Alexandria database
Functional: GGA-PBE
Structure: optimized geometry

abc: 5.7110 5.7110 5.7110
angles: 90.00 90.00 90.00
With the nearest neighbours (Å) after each atom.
Element x y z (fractional)
Pb: 0.0000 0.5000 0.0000  2 Zr 2.86
Pb: 0.0000 0.0000 0.5000  2 Zr 2.86
Pb: 0.5000 0.0000 0.0000  2 Zr 2.86
Na: 0.5000 0.5000 0.5000  12 Pb 4.04
Zr: 0.0000 0.0000 0.0000  6 Pb 2.86

Output
Offset from the most stable computed form, meV per atom: 0
E_form, eV per atom: 0.139
Space-group type: Pm-3m
Total magnetic moment, μB/cell: 0.00
Crystal system: cubic
Fermi-level density of states, states/eV/atom: 0.711